[1]
The following is a GGA-PBE calculation of a geometry-optimized Ba12Sb5N2 structure, from Alexandria via LeMat-Bulk.

a = 19.150 Å, b = 8.619 Å, c = 10.879 Å
α = 90.00°, β = 106.20°, γ = 90.00°
Space group C2/m (No. 12)
One atom of each set of equivalent atoms:
1 Ba 0.001 0.000 0.175
2 Ba 0.002 0.500 0.835
3 Ba 0.153 0.256 0.577
4 Ba 0.156 0.247 0.077
5 Sb 0.000 0.500 0.500
6 Sb 0.185 0.000 0.835
7 Sb 0.189 0.000 0.351
8 N 0.000 0.238 0.000

E_form (uncorrected)   -0.752 eV/atom
Fermi-level density of states   7.483 states/eV/f.u.
Raw total energy   -3.93 eV/atom

---

[2]
The following is a GGA-PBE calculation of a geometry-optimized BaSbN3 structure, from Alexandria via LeMat-Bulk.

a = 4.210 Å, b = 4.210 Å, c = 4.210 Å
α = 90.00°, β = 90.00°, γ = 90.00°
Space group Pm-3m (No. 221)
One atom of each set of equivalent atoms:
1 Ba 0.000 0.000 0.000
2 Sb 0.500 0.500 0.500
3 N 0.000 0.500 0.500

E_form (uncorrected)   0.509 eV/atom
Fermi-level density of states   4.033 states/eV/f.u.
Raw total energy   -5.70 eV/atom

---

[3]
The following is a GGA-PBE calculation of a geometry-optimized Ba4Sb2N structure, from Alexandria via LeMat-Bulk.

a = 5.718 Å, b = 17.037 Å, c = 5.119 Å
α = 90.00°, β = 90.00°, γ = 90.00°
Space group Cmmm (No. 65)
One atom of each set of equivalent atoms:
1 Ba 0.000 0.000 0.000
2 Ba 0.000 0.171 0.500
3 Ba 0.000 0.500 0.500
4 Sb 0.000 0.350 0.000
5 N 0.000 0.000 0.500

E_form (uncorrected)   -0.754 eV/atom
Fermi-level density of states   6.276 states/eV/f.u.
Raw total energy   -4.22 eV/atom

---

[4]
The following is a GGA-PBE calculation of a geometry-optimized Ba7Sb2N2 structure, from Alexandria via LeMat-Bulk.

a = 11.004 Å, b = 14.421 Å, c = 7.138 Å
α = 90.00°, β = 103.28°, γ = 90.00°
Space group C2/m (No. 12)
One atom of each set of equivalent atoms:
1 Ba 0.000 0.000 0.000
2 Ba 0.119 0.500 0.785
3 Ba 0.232 0.145 0.697
4 Sb 0.000 0.305 0.500
5 N 0.221 0.000 0.896

E_form (uncorrected)   -0.539 eV/atom
Fermi-level density of states   4.221 states/eV/f.u.
Raw total energy   -4.03 eV/atom

---

[5]
The following is a GGA-PBE calculation of a geometry-optimized Ba3SbN structure, from Alexandria via LeMat-Bulk.

a = 5.569 Å, b = 5.569 Å, c = 5.569 Å
α = 90.00°, β = 90.00°, γ = 90.00°
Space group Pm-3m (No. 221)
One atom of each set of equivalent atoms:
1 Ba 0.000 0.000 0.500
2 Sb 0.500 0.500 0.500
3 N 0.000 0.000 0.000

E_form (uncorrected)   -0.762 eV/atom
Fermi-level density of states   0.115 states/eV/f.u.
Raw total energy   -4.40 eV/atom

---

[6]
The following is a GGA-PBE calculation of a geometry-optimized BaSbN3 structure, from Alexandria via LeMat-Bulk.

a = 4.490 Å, b = 4.490 Å, c = 4.490 Å
α = 90.00°, β = 90.00°, γ = 90.00°
Space group Pm-3m (No. 221)
One atom of each set of equivalent atoms:
1 Ba 0.000 0.000 0.000
2 Sb 0.500 0.500 0.500
3 N 0.000 0.000 0.500

E_form (uncorrected)   2.281 eV/atom
Fermi-level density of states   3.015 states/eV/f.u.
Raw total energy   -3.92 eV/atom

---

[7]
The following is a GGA-PBE calculation of a geometry-optimized Ba6Sb3N structure, from Alexandria via LeMat-Bulk.

a = 14.3630 Å, b = 14.3630 Å, c = 14.9939 Å
α = 90.00°, β = 90.00°, γ = 120.00°
Space group R-3 (No. 148, hexagonal axes)
One atom of each set of equivalent atoms:
1 Ba 0.0335 0.8461 0.4057
2 Ba 0.0371 0.8473 0.8981
3 Sb 0.0508 0.7765 0.6760
4 N 0.0000 0.0000 0.0000
5 N 0.0000 0.0000 0.5000

E_form (uncorrected)   -0.812 eV/atom
Raw total energy   -4.03 eV/atom

---

[8]
The following is a GGA-PBE calculation of a geometry-optimized Ba2Sb4N structure, from Alexandria via LeMat-Bulk.

a = 5.124 Å, b = 5.124 Å, c = 16.623 Å
α = 90.00°, β = 90.00°, γ = 90.00°
Space group I4/mmm (No. 139)
One atom of each set of equivalent atoms:
1 Ba 0.000 0.000 0.153
2 Sb 0.000 0.000 0.366
3 Sb 0.000 0.500 0.000
4 N 0.000 0.000 0.500

E_form (uncorrected)   -0.094 eV/atom
Fermi-level density of states   6.783 states/eV/f.u.
Raw total energy   -4.19 eV/atom

---

[9]
The following is a GGA-PBE calculation of a geometry-optimized Ba12Sb6N structure, from Alexandria via LeMat-Bulk.

a = 14.7543 Å, b = 14.7543 Å, c = 14.2610 Å
α = 90.00°, β = 90.00°, γ = 120.00°
Space group R-3 (No. 148, hexagonal axes)
One atom of each set of equivalent atoms:
1 Ba 0.0386 0.8194 0.4042
2 Ba 0.0490 0.8604 0.8937
3 Sb 0.0561 0.7838 0.6563
4 N 0.0000 0.0000 0.0000

E_form (uncorrected)   -0.813 eV/atom
Fermi-level density of states   9.395 states/eV/f.u.
Raw total energy   -3.77 eV/atom

---

[10]
The following is a GGA-PBE calculation of a geometry-optimized Ba6SbN2 structure, from Alexandria via LeMat-Bulk.

a = 16.055 Å, b = 5.439 Å, c = 9.959 Å
α = 90.00°, β = 107.24°, γ = 90.00°
Space group C2/m (No. 12)
One atom of each set of equivalent atoms:
1 Ba 0.104 0.000 0.215
2 Ba 0.142 0.500 0.593
3 Ba 0.205 0.000 0.875
4 Sb 0.000 0.000 0.500
5 N 0.246 0.000 0.155

E_form (uncorrected)   -0.455 eV/atom
Fermi-level density of states   4.529 states/eV/f.u.
Raw total energy   -4.05 eV/atom